# 1
Compound: Ba8Ga2Ag
Source: Alexandria via LeMat-Bulk
Functional: PBE
Structure: relaxed

Cell lengths 5.8037, 8.1961, 11.0814 Å; angles 104.78, 105.18, 90.00 degrees
Fractional positions:
Ga (0.1884, 0.7152, 0.3768)
Ga (0.8116, 0.2848, 0.6232)
Ba (0.4034, 0.5583, 0.8068)
Ba (0.6682, 0.9664, 0.3364)
Ba (0.7925, 0.6802, 0.5850)
Ba (0.0384, 0.7965, 0.0769)
Ba (0.2075, 0.3198, 0.4150)
Ba (0.9616, 0.2035, 0.9231)
Ba (0.5966, 0.4417, 0.1932)
Ba (0.3318, 0.0336, 0.6636)
Ag (0.5000, 0.0000, 0.0000)

Computed properties:
energy of formation: -0.167 eV/atom
calculated volume: 491 Å³/cell
polymorph energy (0 for the lowest one): 0.0000 eV/atom

# 2
Compound: Ba2Ga3Ag9
Source: Alexandria via LeMat-Bulk
Functional: PBE
Structure: relaxed

Cell lengths 8.4643, 8.4643, 11.1563 Å; angles 90.53, 110.29, 122.05 degrees
Fractional positions:
Ag (0.4660, 0.9221, 0.7423)
Ag (0.1227, 0.8727, 0.2500)
Ag (0.5021, 0.8359, 0.4971)
Ag (0.8388, 0.0050, 0.0029)
Ag (0.1612, 0.9950, 0.9971)
Ag (0.1310, 0.1464, 0.4402)
Ag (0.4979, 0.1641, 0.5029)
Ag (0.8773, 0.1273, 0.7500)
Ag (0.3202, 0.2763, 0.2423)
Ag (0.7938, 0.3092, 0.9402)
Ag (0.5340, 0.0779, 0.2577)
Ag (0.5593, 0.3555, 0.0847)
Ag (0.4407, 0.6445, 0.9153)
Ag (0.6798, 0.7237, 0.7577)
Ag (0.8690, 0.8536, 0.5598)
Ag (0.7707, 0.4746, 0.4153)
Ag (0.2062, 0.6908, 0.0598)
Ag (0.2293, 0.5254, 0.5847)
Ba (0.6617, 0.7622, 0.2416)
Ba (0.0206, 0.4202, 0.2584)
Ba (0.9794, 0.5798, 0.7416)
Ba (0.3383, 0.2378, 0.7584)
Ga (0.5000, 0.0000, 0.0000)
Ga (0.1463, 0.8186, 0.4971)
Ga (0.8215, 0.6492, 0.0029)
Ga (0.8537, 0.1814, 0.5029)
Ga (0.1785, 0.3508, 0.9971)
Ga (0.5000, 0.5000, 0.5000)

Computed properties:
energy of formation: -0.151 eV/atom
calculated volume: 616 Å³/cell

# 3
Compound: Ba12GaAg6
Source: Alexandria via LeMat-Bulk
Functional: PBE
Structure: relaxed

Cell lengths 10.1736, 10.1736, 10.1736 Å; angles 109.47, 109.47, 109.47 degrees
Fractional positions:
Ba (0.4753, 0.1815, 0.2938)
Ba (0.1815, 0.2938, 0.4753)
Ba (0.8185, 0.7062, 0.5247)
Ba (0.7062, 0.5247, 0.8185)
Ba (0.5247, 0.8185, 0.7062)
Ba (0.8185, 0.2938, 0.1123)
Ba (0.1123, 0.8185, 0.2938)
Ba (0.1815, 0.7062, 0.8877)
Ba (0.2938, 0.4753, 0.1815)
Ba (0.7062, 0.8877, 0.1815)
Ba (0.8877, 0.1815, 0.7062)
Ba (0.2938, 0.1123, 0.8185)
Ag (0.5000, 0.1219, 0.6219)
Ag (0.6219, 0.5000, 0.1219)
Ag (0.5000, 0.8781, 0.3781)
Ag (0.8781, 0.3781, 0.5000)
Ag (0.1219, 0.6219, 0.5000)
Ag (0.3781, 0.5000, 0.8781)
Ga (0.0000, 0.0000, 0.0000)

Computed properties:
energy of formation: -0.169 eV/atom
calculated volume: 811 Å³/cell
polymorph energy (0 for the lowest one): 0.0000 eV/atom

# 4
Compound: Ba2Ga3Ag
Source: Alexandria via LeMat-Bulk
Functional: PBE
Structure: relaxed

Cell lengths 6.7167, 6.7167, 9.1987 Å; angles 109.86, 109.86, 93.98 degrees
Fractional positions:
Ga (0.8390, 0.8390, 0.6780)
Ga (0.1571, 0.1571, 0.8388)
Ga (0.6817, 0.6817, 0.8388)
Ga (0.8429, 0.8429, 0.1612)
Ga (0.3183, 0.3183, 0.1612)
Ga (0.1610, 0.1610, 0.3220)
Ag (0.3316, 0.3316, 0.6632)
Ag (0.6684, 0.6684, 0.3368)
Ba (0.7500, 0.2500, 0.5000)
Ba (0.2500, 0.7500, 0.5000)
Ba (0.2665, 0.7335, 0.0000)
Ba (0.7335, 0.2665, 0.0000)

Computed properties:
energy of formation: -0.391 eV/atom
calculated volume: 359 Å³/cell

# 5
Compound: Ba2Ga3Ag5
Source: Alexandria via LeMat-Bulk
Functional: PBE
Structure: relaxed

Cell lengths 4.6098, 4.6098, 11.4985 Å; angles 90.00, 90.00, 90.00 degrees
Fractional positions:
Ba (0.5000, 0.0000, 0.2557)
Ba (0.0000, 0.5000, 0.7443)
Ag (0.5000, 0.0000, 0.8549)
Ag (0.5000, 0.5000, 0.5000)
Ag (0.5000, 0.5000, 0.0000)
Ag (0.0000, 0.5000, 0.1451)
Ag (0.0000, 0.0000, 0.0000)
Ga (0.5000, 0.0000, 0.6224)
Ga (0.0000, 0.0000, 0.5000)
Ga (0.0000, 0.5000, 0.3776)

Computed properties:
energy of formation: -0.259 eV/atom
calculated volume: 244 Å³/cell

# 6
Compound: Ba6GaAg2
Source: Alexandria via LeMat-Bulk
Functional: PBE
Structure: relaxed

Cell lengths 5.9145, 8.1598, 9.3246 Å; angles 83.40, 71.51, 68.75 degrees
Fractional positions:
Ba (0.6273, 0.2455, 0.5000)
Ba (0.9633, 0.2441, 0.8294)
Ba (0.3727, 0.7545, 0.5000)
Ba (0.0367, 0.7559, 0.1706)
Ba (0.7074, 0.7559, 0.8294)
Ba (0.2926, 0.2441, 0.1706)
Ag (0.3340, 0.5000, 0.8320)
Ag (0.6660, 0.5000, 0.1680)
Ga (0.0000, 0.5000, 0.5000)

Computed properties:
energy of formation: -0.205 eV/atom
calculated volume: 398 Å³/cell